[1]
Density functional theory data (GGA-PBEsol) for a relaxed TlTcMo2 crystal.

Values from the calculation:
* ΔH_f (0 K): 0.526 eV per atom
* E_tot: -8.832 eV per atom

a = 3.3901 Å, b = 3.3901 Å, c = 5.8977 Å
α = 90.00°, β = 90.00°, γ = 90.00°
With the nearest neighbours (Å) after each atom.
Space group P4/mmm (No. 123)
One atom of each set of equivalent atoms:
Tl1 0.0000 0.0000 0.0000 [1 per cell]  2 Tc 2.95, 8 Mo 2.97
Tc1 0.0000 0.0000 0.5000 [1 per cell]  8 Mo 2.68, 2 Tl 2.95
Mo1 0.5000 0.5000 0.2984 [2 per cell]  1 Mo 2.38

[2]
Density functional theory data (GGA-PBEsol) for a relaxed Ta2CuPtRh crystal.

Values from the calculation:
* ΔH_f (0 K): 1.314 eV per atom
* E_tot: -7.593 eV per atom

a = 4.7636 Å, b = 4.7636 Å, c = 4.4744 Å
α = 90.00°, β = 90.00°, γ = 90.00°
With the nearest neighbours (Å) after each atom.
Space group P4/mmm (No. 123)
One atom of each set of equivalent atoms:
Ta1 0.0000 0.5000 0.0000 [2 per cell]  2 Pt 2.38
Cu1 0.0000 0.0000 0.5000 [1 per cell]  2 Pt 2.24
Pt1 0.0000 0.0000 0.0000 [1 per cell]  2 Cu 2.24, 4 Ta 2.38
Rh1 0.5000 0.5000 0.5000 [1 per cell]  8 Ta 3.27, 4 Cu 3.37

[3]
Density functional theory data (GGA-PBEsol) for a relaxed ZrTe3Os crystal.

Values from the calculation:
* E_form (uncorrected): 6.43 eV per formula unit
* E_tot: -5.091 eV per atom

a = 5.4500 Å, b = 5.4500 Å, c = 5.4500 Å
α = 90.00°, β = 90.00°, γ = 90.00°
With the nearest neighbours (Å) after each atom.
Space group Pm-3m (No. 221)
One atom of each set of equivalent atoms:
Zr1 0.0000 0.0000 0.0000 [1 per cell]  6 Te 2.72
Te1 0.0000 0.0000 0.5000 [3 per cell]  2 Zr 2.72
Os1 0.5000 0.5000 0.5000 [1 per cell]  12 Te 3.85

[4]
Density functional theory data (GGA-PBEsol) for a relaxed SrMgMnP2O8 crystal.

Values from the calculation:
* E_form (uncorrected): -32.20 eV per formula unit
* E_tot: -7.622 eV per atom

a = 5.5485 Å, b = 6.6498 Å, c = 9.3870 Å
α = 109.85°, β = 101.46°, γ = 98.29°
With the nearest neighbours (Å) after each atom.
Space group P-1 (No. 2)
One atom of each set of equivalent atoms:
Sr1 0.2434 0.2022 0.4478 [2 per cell]  6 O 2.45-2.67
Mg1 0.4994 0.5875 0.8501 [2 per cell]  4 O 2.04-2.08
Mn1 0.1344 0.8396 0.0576 [2 per cell]  5 O 2.01-2.20
P1 0.1156 0.5794 0.2709 [2 per cell]  4 O 1.54-1.57
P2 0.3358 0.0260 0.8004 [2 per cell]  4 O 1.52-1.58
O1 0.1098 0.9513 0.8607 [2 per cell]  1 P 1.56
O2 0.1266 0.4224 0.1056 [2 per cell]  1 P 1.57
O3 0.1458 0.4766 0.7002 [2 per cell]  1 P 1.54
O4 0.1726 0.8153 0.2766 [2 per cell]  1 P 1.54
O5 0.2442 0.9949 0.6287 [2 per cell]  1 P 1.52
O6 0.3355 0.5442 0.3833 [2 per cell]  1 P 1.55
O7 0.4640 0.1133 0.1785 [2 per cell]  1 P 1.57
O8 0.4724 0.2720 0.9105 [2 per cell]  1 P 1.58

[5]
Density functional theory data (GGA-PBEsol) for a relaxed BeZnAs3 crystal.

Values from the calculation:
* ΔH_f (0 K): 1.135 eV per atom
* E_tot: -3.045 eV per atom

a = 4.7247 Å, b = 4.7247 Å, c = 4.7247 Å
α = 90.00°, β = 90.00°, γ = 90.00°
With the nearest neighbours (Å) after each atom.
Space group Pm-3m (No. 221)
One atom of each set of equivalent atoms:
Be1 0.0000 0.0000 0.0000 [1 per cell]  12 As 3.34
Zn1 0.5000 0.5000 0.5000 [1 per cell]  6 As 2.36
As1 0.0000 0.5000 0.5000 [3 per cell]  2 Zn 2.36

[6]
Density functional theory data (GGA-PBEsol) for a relaxed In4Mo crystal.

Values from the calculation:
* ΔH_f (0 K): 0.035 eV per atom
* E_tot: -4.705 eV per atom

a = 6.2990 Å, b = 6.2990 Å, c = 6.2990 Å
α = 90.00°, β = 90.00°, γ = 90.00°
With the nearest neighbours (Å) after each atom.
Space group Im-3m (No. 229)
One atom of each set of equivalent atoms:
In1 0.2500 0.2500 0.2500 [8 per cell]  2 Mo 2.73
Mo1 0.0000 0.0000 0.0000 [2 per cell]  8 In 2.73

[7]
Density functional theory data (GGA-PBEsol) for a relaxed BaCuSi2 crystal.

Values from the calculation:
* E_form (uncorrected): -1.21 eV per formula unit
* E_tot: -4.798 eV per atom

a = 3.9963 Å, b = 3.9963 Å, c = 18.1948 Å
α = 90.00°, β = 90.00°, γ = 120.00°
With the nearest neighbours (Å) after each atom.
Space group R-3m (No. 166, hexagonal axes)
One atom of each set of equivalent atoms:
Ba1 0.0000 0.0000 0.0000 [3 per cell]  6 Si 3.27
Cu1 0.0000 0.0000 0.5000 [3 per cell]  6 Si 2.41
Si1 0.0000 0.0000 0.2059 [6 per cell]  3 Cu 2.41

[8]
Density functional theory data (GGA-PBEsol) for a relaxed CoMo2Cl crystal.

Values from the calculation:
* E_form (uncorrected): 1.15 eV per formula unit
* E_tot: -8.033 eV per atom
* polymorph energy (0 for the lowest one): 12 meV/atom

a = 2.8114 Å, b = 2.8114 Å, c = 24.8161 Å
α = 90.00°, β = 90.00°, γ = 120.00°
With the nearest neighbours (Å) after each atom.
Space group R3m (No. 160, hexagonal axes)
One atom of each set of equivalent atoms:
Co1 0.0000 0.0000 0.0000 [3 per cell]  3 Mo 2.49, 3 Cl 2.65
Mo1 0.0000 0.0000 0.5058 [3 per cell]  3 Cl 2.50
Mo2 0.0000 0.0000 0.7428 [3 per cell]  3 Co 2.49
Cl1 0.0000 0.0000 0.2489 [3 per cell]  3 Mo 2.50, 3 Co 2.65

| no. | density of states at the Fermi level (states/eV per atom) |
| --- | --- |
| 1 | 0.973 |
| 2 | 0.918 |
| 3 | 1.482 |
| 4 | 0.000 |
| 5 | 0.734 |
| 6 | 0.121 |
| 7 | 0.356 |
| 8 | 1.025 |